# 1
A plane-wave DFT calculation with PBE was carried out for a relaxed structure of BaSe3.

Structure (POSCAR):
```
BaSe3
1.0
7.4196 0.0000 0.0000
0.0000 7.4196 0.0000
0.0000 0.0000 4.2891
Se Ba
6 2
direct
0.3085 0.1915 0.5132
0.6915 0.8085 0.5132
0.5000 0.0000 0.8237
0.1915 0.6915 0.4868
0.8085 0.3085 0.4868
0.0000 0.5000 0.1763
0.0000 0.0000 0.0000
0.5000 0.5000 0.0000
```

## Properties
formation energy (no corrections)	-1.041	eV per atom
M_tot	0.00	Bohr magnetons per cell
V	29.51	Å³/atom

***

# 2
A plane-wave DFT calculation with PBE was carried out for a relaxed structure of BaSe.

Structure (POSCAR):
```
BaSe
1.0
-4.1961 -1.9823 6.8927
2.6234 3.9936 6.7982
-3.5446 0.1577 -7.5138
Ba Se
3 3
direct
0.1125 0.8469 0.2656
0.7536 0.0000 0.7536
0.4186 0.1531 0.2656
0.4179 0.3492 0.0688
0.0805 0.5000 0.5805
0.7196 0.6508 0.0688
```

## Properties
DOS at the Fermi energy	0.00	states/eV/cell
formation energy (no corrections)	-1.879	eV per atom
M_tot	0.00	Bohr magnetons per cell
V	39.92	Å³/atom

***

# 3
A plane-wave DFT calculation with PBE was carried out for a relaxed structure of Ba2SiSe4.

Structure (POSCAR):
```
Ba2SiSe4
1.0
-1.3776 -5.9260 3.7009
-1.9254 -4.5299 -7.9701
12.5976 -3.5640 -1.0176
Si Ba Se
4 8 16
direct
0.2500 0.7289 0.4232
0.7500 0.2711 0.5768
0.7500 0.7711 0.9232
0.2500 0.2289 0.0768
0.2500 0.6216 0.0728
0.7500 0.5164 0.3372
0.2500 0.1216 0.4272
0.7500 0.8784 0.5728
0.2500 0.4836 0.6628
0.7500 0.3784 0.9272
0.7500 0.0164 0.1628
0.2500 0.9836 0.8372
0.0120 0.1751 0.6482
0.9880 0.8249 0.3518
0.2500 0.9869 0.0944
0.7500 0.5131 0.5944
0.2500 0.8142 0.5873
0.5120 0.3249 0.1482
0.2500 0.3142 0.9127
0.2500 0.4869 0.4056
0.7500 0.0131 0.9056
0.4880 0.6751 0.8518
0.0120 0.6751 0.8518
0.9880 0.3249 0.1482
0.7500 0.1858 0.4127
0.5120 0.8249 0.3518
0.7500 0.6858 0.0873
0.4880 0.1751 0.6482
```

## Properties
DOS at the Fermi energy	0.00	states/eV/cell
formation energy (no corrections)	-1.431	eV per atom
M_tot	0.00	Bohr magnetons per cell
V	31.28	Å³/atom
energy above the most stable polymorph in this dataset	2.73	kJ per mole of atoms

***

# 4
A plane-wave DFT calculation with PBE was carried out for a relaxed structure of BaSiSe2.

Structure (POSCAR):
```
BaSiSe2
1.0
6.4197 0.0000 0.0000
0.0000 6.4197 0.0000
3.2099 3.2099 7.0630
Se Ba Si
4 2 2
direct
0.5408 0.1250 0.2500
0.2092 0.6250 0.2500
0.3750 0.4592 0.7500
0.8750 0.7908 0.7500
0.0000 0.0000 0.0000
0.7500 0.2500 0.5000
0.5000 0.5000 0.0000
0.2500 0.7500 0.5000
```

## Properties
DOS at the Fermi energy	1.02	states/eV/cell
formation energy (no corrections)	-0.734	eV per atom
M_tot	0.00	Bohr magnetons per cell
V	36.39	Å³/atom
energy above the most stable polymorph in this dataset	25.73	kJ per mole of atoms

***

# 5
A plane-wave DFT calculation with PBE was carried out for a relaxed structure of Ba2SiSe.

Structure (POSCAR):
```
Ba2SiSe
1.0
-2.7809 6.2111 5.1856
0.5997 -5.3100 6.6818
3.2693 1.8205 6.6310
Ba Si Se
4 2 2
direct
0.6380 0.1250 0.2500
0.3750 0.3620 0.7500
0.1120 0.6250 0.2500
0.8750 0.8880 0.7500
0.5000 0.5000 0.0000
0.2500 0.7500 0.5000
0.0000 0.0000 0.0000
0.7500 0.2500 0.5000
```

## Properties
DOS at the Fermi energy	1.96	states/eV/cell
formation energy (no corrections)	-0.646	eV per atom
M_tot	4.00	Bohr magnetons per cell
V	42.30	Å³/atom
energy above the most stable polymorph in this dataset	21.79	kJ per mole of atoms

***

# 6
A plane-wave DFT calculation with PBE was carried out for a relaxed structure of BaSiSe3.

Structure (POSCAR):
```
BaSiSe3
1.0
5.5276 0.1166 0.0918
0.3227 7.4632 -0.2117
0.3243 1.6722 7.2843
Si Se Ba
2 6 2
direct
0.7422 0.6161 0.7277
0.7425 0.2883 0.0545
0.9561 0.5558 0.9948
0.5287 0.3486 0.7874
0.9810 0.0335 0.0567
0.9804 0.6196 0.4726
0.5036 0.8709 0.7255
0.5043 0.2848 0.3095
0.9788 0.1312 0.5706
0.5058 0.7730 0.2117
```

## Properties
DOS at the Fermi energy	0.00	states/eV/cell
formation energy (no corrections)	-1.125	eV per atom
M_tot	0.00	Bohr magnetons per cell
V	30.20	Å³/atom
energy above the most stable polymorph in this dataset	0.00	kJ per mole of atoms

***

# 7
A plane-wave DFT calculation with PBE was carried out for a relaxed structure of Ba2SiSe2.

Structure (POSCAR):
```
Ba2SiSe2
1.0
-5.2349 -3.5041 -5.3357
6.1867 -4.4854 -3.1240
-0.8713 -3.3121 3.0300
Ba Si Se
4 2 4
direct
0.6589 0.8411 0.5000
0.3411 0.1589 0.5000
0.1589 0.6589 0.5000
0.8411 0.3411 0.5000
0.0000 0.0000 0.0000
0.5000 0.5000 0.0000
0.6574 0.1574 0.0000
0.8426 0.6574 0.0000
0.3426 0.8426 0.0000
0.1574 0.3426 0.0000
```

## Properties
DOS at the Fermi energy	5.08	states/eV/cell
formation energy (no corrections)	-1.039	eV per atom
M_tot	0.00	Bohr magnetons per cell
V	31.16	Å³/atom
energy above the most stable polymorph in this dataset	0.00	kJ per mole of atoms

***

# 8
A plane-wave DFT calculation with PBE was carried out for a relaxed structure of BaSiSe2.

Structure (POSCAR):
```
BaSiSe2
1.0
4.3226 0.0002 0.0011
2.1619 3.7431 0.0011
2.1607 1.2473 7.1356
Si Ba Se
1 1 2
direct
0.7500 0.7500 0.7500
0.2500 0.2500 0.2500
0.4854 0.4854 0.5436
0.0146 0.0146 0.9564
```

## Properties
formation energy (no corrections)	-0.802	eV per atom
M_tot	0.00	Bohr magnetons per cell
V	28.86	Å³/atom
energy above the most stable polymorph in this dataset	19.17	kJ per mole of atoms

***

What is the M_tot in the sixth record? 0.00 Bohr magnetons per cell

***

Which of these has the highest V? Ba2SiSe

***

Please write out number 3 again, unchanged.
A plane-wave DFT calculation with PBE was carried out for a relaxed structure of Ba2SiSe4.

Structure (POSCAR):
```
Ba2SiSe4
1.0
-1.3776 -5.9260 3.7009
-1.9254 -4.5299 -7.9701
12.5976 -3.5640 -1.0176
Si Ba Se
4 8 16
direct
0.2500 0.7289 0.4232
0.7500 0.2711 0.5768
0.7500 0.7711 0.9232
0.2500 0.2289 0.0768
0.2500 0.6216 0.0728
0.7500 0.5164 0.3372
0.2500 0.1216 0.4272
0.7500 0.8784 0.5728
0.2500 0.4836 0.6628
0.7500 0.3784 0.9272
0.7500 0.0164 0.1628
0.2500 0.9836 0.8372
0.0120 0.1751 0.6482
0.9880 0.8249 0.3518
0.2500 0.9869 0.0944
0.7500 0.5131 0.5944
0.2500 0.8142 0.5873
0.5120 0.3249 0.1482
0.2500 0.3142 0.9127
0.2500 0.4869 0.4056
0.7500 0.0131 0.9056
0.4880 0.6751 0.8518
0.0120 0.6751 0.8518
0.9880 0.3249 0.1482
0.7500 0.1858 0.4127
0.5120 0.8249 0.3518
0.7500 0.6858 0.0873
0.4880 0.1751 0.6482
```

## Properties
DOS at the Fermi energy	0.00	states/eV/cell
formation energy (no corrections)	-1.431	eV per atom
M_tot	0.00	Bohr magnetons per cell
V	31.28	Å³/atom
energy above the most stable polymorph in this dataset	2.73	kJ per mole of atoms